[1]
# LaPuCuAg

A geometry-optimized LaPuCuAg structure (PBE, the Alexandria database).

abc: 7.362 7.362 7.362
angles: 90.00 90.00 90.00
Space group F-43m (No. 216)
Inequivalent atoms, fractional coordinates:
La (0.000, 0.000, 0.000) [4 per cell]
Pu (0.000, 0.000, 0.500) [4 per cell]
Cu (0.250, 0.250, 0.250) [4 per cell]
Ag (0.250, 0.250, 0.750) [4 per cell]

Calculated values
calculated density = 9.226 g cm⁻³
total magnetic moment = 6.0 μB per formula unit
crystal system = cubic
ΔH_f (0 K) = 0.014 eV per atom

***

[2]
# Zn3C

A geometry-optimized Zn3C structure (PBE, the Alexandria database).

abc: 4.9729 4.9729 4.8915
angles: 90.00 90.00 120.00
Space group P6_3/mmc (No. 194)
Inequivalent atoms, fractional coordinates:
Zn (0.1683, 0.3366, 0.2500) [6 per cell]
C (0.3333, 0.6667, 0.7500) [2 per cell]

Calculated values
calculated density = 6.602 g cm⁻³
total magnetic moment = 0.0 μB per formula unit
crystal system = hexagonal
ΔH_f (0 K) = 1.040 eV per atom